Record 1
{"formula": "LiTm6Tl2", "functional": "GGA-PBE", "state": "relaxed", "final_energy_ry_per_atom": -0.26111, "ef_ev_per_atom": 0.17, "lattice": [[5.011, 0.000, -0.195], [0.000, 7.246, 0.000], [-2.216, -3.623, 7.728]], "species": ["Li", "Tm", "Tl", "Tm", "Tm", "Tm", "Tl", "Tm", "Tm"], "fractional_positions": [[0.000, 0.000, 0.000], [0.500, 0.243, 0.000], [0.333, 0.333, 0.665], [0.163, 0.407, 0.326], [0.163, 0.919, 0.326], [0.837, 0.593, 0.674], [0.667, 0.667, 0.335], [0.837, 0.081, 0.674], [0.500, 0.757, 0.000]]}

=====

Record 2
{"formula": "Be2ZnRe2", "functional": "GGA-PBE", "state": "relaxed", "final_energy_ry_per_atom": -0.49516, "ef_ev_per_atom": -0.01, "lattice": [[5.948, 0.000, 0.000], [0.000, 5.948, 0.000], [0.000, 0.000, 3.244]], "species": ["Be", "Be", "Zn", "Be", "Re", "Zn", "Re", "Be", "Re", "Re"], "fractional_positions": [[0.620, 0.120, 0.000], [0.120, 0.380, 0.000], [0.000, 0.000, 0.000], [0.880, 0.620, 0.000], [0.174, 0.674, 0.500], [0.500, 0.500, 0.000], [0.826, 0.326, 0.500], [0.380, 0.880, 0.000], [0.674, 0.826, 0.500], [0.326, 0.174, 0.500]]}

=====

Record 3
{"formula": "ReAgP2", "functional": "GGA-PBE", "state": "relaxed", "relative_energy_ev_per_atom": 0.202, "final_energy_ry_per_atom": -0.46318, "ef_ev_per_atom": 0.23, "lattice": [[5.666, 0.000, 0.000], [0.000, 5.666, 0.000], [2.833, 2.833, 5.245]], "species": ["P", "P", "Ag", "Re", "P", "P", "Ag", "Re"], "fractional_positions": [[0.375, 0.337, 0.750], [0.875, 0.913, 0.750], [0.500, 0.500, 0.000], [0.750, 0.250, 0.500], [0.087, 0.625, 0.250], [0.663, 0.125, 0.250], [0.250, 0.750, 0.500], [0.000, 0.000, 0.000]]}

=====

Record 4
{"formula": "ZrMn2Zn2", "functional": "GGA-PBE", "state": "relaxed", "relative_energy_ev_per_atom": 0.037, "final_energy_ry_per_atom": -0.42480, "ef_ev_per_atom": 0.11, "lattice": [[3.905, 0.000, 0.000], [0.000, 3.905, 0.000], [1.953, 1.953, 5.086]], "species": ["Mn", "Mn", "Zn", "Zr", "Zn"], "fractional_positions": [[0.403, 0.403, 0.193], [0.597, 0.597, 0.807], [0.750, 0.250, 0.500], [0.000, 0.000, 0.000], [0.250, 0.750, 0.500]]}

=====

Record 5
{"formula": "Pm2As2Rh5", "functional": "GGA-PBE", "state": "relaxed", "final_energy_ry_per_atom": -0.50976, "ef_ev_per_atom": -0.76, "lattice": [[4.276, 0.000, 0.000], [0.000, 4.276, 0.000], [0.000, 0.000, 8.913]], "species": ["Rh", "As", "Rh", "Pm", "Rh", "As", "Rh", "Rh", "Pm"], "fractional_positions": [[0.500, 0.000, 0.267], [0.500, 0.500, 0.150], [0.500, 0.500, 0.500], [0.000, 0.000, 0.500], [0.000, 0.500, 0.733], [0.500, 0.500, 0.850], [0.500, 0.000, 0.733], [0.000, 0.500, 0.267], [0.000, 0.000, 0.000]]}

=====

Record 6
{"formula": "HfMgVZn2", "functional": "GGA-PBE", "state": "relaxed", "final_energy_ry_per_atom": -0.29040, "ef_ev_per_atom": 0.69, "lattice": [[4.877, 0.000, 0.000], [0.000, 4.591, 0.000], [0.000, 0.000, 4.877]], "species": ["V", "Hf", "Zn", "Zn", "Mg"], "fractional_positions": [[0.000, 0.000, 0.000], [0.000, 0.500, 0.000], [0.500, 0.000, 0.000], [0.000, 0.000, 0.500], [0.500, 0.500, 0.500]]}

=====

Number 1: total moment 0.0 μB per formula unit. Number 2: total moment 0.0 μB per formula unit. Number 3: total moment 0.0 μB per formula unit. Number 4: total moment 2.1 μB per formula unit. Number 5: total moment 0.0 μB per formula unit. Number 6: total moment 0.4 μB per formula unit.